Entry 1:
Density functional theory data (PBE) for CaCoCl after structural relaxation.

Results
As for the total energy: -3.932 eV/atom. As for the space-group type: No. 187. The density of states at the Fermi level is 1.72 states/eV/f.u. Its magnetic moment is 0.00 μB/cell.

Lattice parameters (Å, degrees): 3.9408 3.9408 3.9090 90.00 90.00 120.00
Closest atoms and distances in Å follow each position.
Atoms (fractional coordinates):
Ca (0.0000, 0.0000, 0.0000)  6 Co 3.00, 6 Cl 3.00
Co (0.3333, 0.6667, 0.5000)  3 Cl 2.28
Cl (0.6667, 0.3333, 0.5000)  3 Co 2.28

---

Entry 2:
Density functional theory data (PBE) for AcYZr after structural relaxation.

Results
As for the space-group type: No. 187. The calculation puts the formation energy from the elements at 0.2570 eV per atom. The excess energy over the best structure of this formula in the dataset comes out at 4.28 kcal/mol of atoms. The density of states at the Fermi level is 6.77 states/eV/f.u. Its magnetic moment is 0.00 μB/cell.

Lattice parameters (Å, degrees): 5.5999 5.5999 3.4821 90.00 90.00 120.00
Closest atoms and distances in Å follow each position.
Atoms (fractional coordinates):
Ac (0.0000, 0.0000, 0.0000)  3 Zr 3.23, 2 Ac 3.48
Y (0.6667, 0.3333, 0.5000)  2 Y 3.48, 6 Ac 3.67, 6 Zr 3.67
Zr (0.3333, 0.6667, 0.0000)  3 Ac 3.23, 2 Zr 3.48

---

Entry 3:
Density functional theory data (PBE) for NaZnC3 after structural relaxation.

Results
As for the space-group type: No. 221. The calculation puts the formation energy from the elements at 3.6893 eV per atom. The excess energy over the best structure of this formula in the dataset comes out at 24.78 kcal/mol of atoms. The density of states at the Fermi level is 4.05 states/eV/f.u. Its magnetic moment is 0.00 μB/cell.

Lattice parameters (Å, degrees): 4.2023 4.2023 4.2023 90.00 90.00 90.00
Closest atoms and distances in Å follow each position.
Atoms (fractional coordinates):
Na (0.0000, 0.0000, 0.0000)  6 C 2.10
Zn (0.5000, 0.5000, 0.5000)  12 C 2.97
C (0.0000, 0.0000, 0.5000)  2 Na 2.10
C (0.0000, 0.5000, 0.0000)  2 Na 2.10
C (0.5000, 0.0000, 0.0000)  2 Na 2.10

---

Entry 4:
Density functional theory data (PBE) for Al2Cr2Sb after structural relaxation.

Results
As for the total energy: -5.974 eV/atom. As for the space-group type: No. 127. The density of states at the Fermi level is 3.97 states/eV/f.u. Its magnetic moment is 4.84 μB/cell.

Lattice parameters (Å, degrees): 6.5166 6.5166 3.8291 90.00 90.00 90.00
Closest atoms and distances in Å follow each position.
Atoms (fractional coordinates):
Al (0.1513, 0.3487, 0.0000)  6 Cr 2.67-2.75, 1 Al 2.79
Al (0.3487, 0.8487, 0.0000)  6 Cr 2.67-2.75, 1 Al 2.79
Al (0.6513, 0.1513, 0.0000)  6 Cr 2.67-2.75, 1 Al 2.79
Al (0.8487, 0.6513, 0.0000)  6 Cr 2.67-2.75, 1 Al 2.79
Cr (0.1347, 0.6347, 0.5000)  1 Cr 2.48, 2 Sb 2.54, 6 Al 2.67-2.75
Cr (0.3653, 0.1347, 0.5000)  1 Cr 2.48, 2 Sb 2.54, 6 Al 2.67-2.75
Cr (0.6347, 0.8653, 0.5000)  1 Cr 2.48, 2 Sb 2.54, 6 Al 2.67-2.75
Cr (0.8653, 0.3653, 0.5000)  1 Cr 2.48, 2 Sb 2.54, 6 Al 2.67-2.75
Sb (0.0000, 0.0000, 0.5000)  4 Cr 2.54
Sb (0.5000, 0.5000, 0.5000)  4 Cr 2.54

---

Entry 5:
Density functional theory data (PBE) for ScMnMo2 after structural relaxation.

Results
As for the space-group type: No. 122. The calculation puts the formation energy from the elements at 0.4871 eV per atom. The excess energy over the best structure of this formula in the dataset comes out at 10.06 kcal/mol of atoms. The density of states at the Fermi level is 3.15 states/eV/f.u. Its magnetic moment is 0.00 μB/cell.

Lattice parameters (Å, degrees): 5.7085 5.7085 5.7085 102.41 102.41 124.76
Closest atoms and distances in Å follow each position.
Atoms (fractional coordinates):
Sc (0.0000, 0.0000, 0.0000)  2 Mn 2.65, 4 Mo 2.88
Sc (0.7500, 0.2500, 0.5000)  2 Mn 2.65, 4 Mo 2.88
Mn (0.2500, 0.7500, 0.5000)  4 Mo 2.37, 2 Sc 2.65
Mn (0.5000, 0.5000, 0.0000)  4 Mo 2.37, 2 Sc 2.65
Mo (0.1776, 0.6250, 0.0526)  2 Mn 2.37
Mo (0.3750, 0.4276, 0.5526)  2 Mn 2.37
Mo (0.5724, 0.1250, 0.9474)  2 Mn 2.37
Mo (0.8750, 0.8224, 0.4474)  2 Mn 2.37

---

Entry 6:
Density functional theory data (PBE) for Re2SiBr after structural relaxation.

Results
As for the space-group type: No. 25. The excess energy over the best structure of this formula in the dataset comes out at 0.00 kcal/mol of atoms. The density of states at the Fermi level is 2.53 states/eV/f.u. Its magnetic moment is 0.00 μB/cell.

Lattice parameters (Å, degrees): 3.0298 3.0423 7.5631 90.00 90.00 90.00
Closest atoms and distances in Å follow each position.
Atoms (fractional coordinates):
Re (0.0000, 0.0000, 0.0000)  2 Br 2.58, 4 Re 2.66
Re (0.5000, 0.5000, 0.2076)  4 Si 2.58, 4 Re 2.66
Si (0.0000, 0.0000, 0.3957)  4 Re 2.58
Br (0.5000, 0.0000, 0.7237)  2 Re 2.58

---

Entry 7:
Density functional theory data (PBE) for BiAsHPb2 after structural relaxation.

Results
As for the total energy: -3.714 eV/atom. As for the space-group type: No. 123. The density of states at the Fermi level is 4.08 states/eV/f.u. Its magnetic moment is 0.00 μB/cell.

Lattice parameters (Å, degrees): 6.0715 6.0715 3.4805 90.00 90.00 90.00
Closest atoms and distances in Å follow each position.
Atoms (fractional coordinates):
Bi (0.0000, 0.0000, 0.0000)  2 Bi 3.48, 8 Pb 3.50
As (0.5000, 0.5000, 0.5000)  2 H 1.74
H (0.5000, 0.5000, 0.0000)  2 As 1.74
Pb (0.0000, 0.5000, 0.5000)  2 As 3.04
Pb (0.5000, 0.0000, 0.5000)  2 As 3.04

---

Entry 8:
Density functional theory data (PBE) for Th2Cd3Fe2 after structural relaxation.

Results
As for the space-group type: No. 65. The calculation puts the formation energy from the elements at -0.0956 eV per atom. The density of states at the Fermi level is 6.21 states/eV/f.u. Its magnetic moment is 2.38 μB/cell.

Lattice parameters (Å, degrees): 10.6370 10.6370 3.8839 90.00 90.00 158.94
Closest atoms and distances in Å follow each position.
Atoms (fractional coordinates):
Th (0.1736, 0.8264, 0.0000)  6 Fe 2.89-3.02
Th (0.8264, 0.1736, 0.0000)  6 Fe 2.89-3.02
Cd (0.0000, 0.0000, 0.0000)  8 Cd 3.16
Cd (0.4252, 0.5748, 0.5000)  1 Fe 2.95, 5 Cd 3.13-3.16
Cd (0.5748, 0.4252, 0.5000)  1 Fe 2.95, 5 Cd 3.13-3.16
Fe (0.2840, 0.7160, 0.5000)  2 Fe 2.41
Fe (0.7160, 0.2840, 0.5000)  2 Fe 2.41

---

Entry 9:
Density functional theory data (PBE) for Na7Cd2Sn2 after structural relaxation.

Results
As for the space-group type: No. 65. The calculation puts the formation energy from the elements at -0.0363 eV per atom. The excess energy over the best structure of this formula in the dataset comes out at 1.93 kcal/mol of atoms. The density of states at the Fermi level is 4.61 states/eV/f.u. Its magnetic moment is 0.00 μB/cell.

Lattice parameters (Å, degrees): 6.5788 6.5788 9.3023 90.00 90.00 123.27
Closest atoms and distances in Å follow each position.
Atoms (fractional coordinates):
Na (0.0000, 0.0000, 0.0000)  2 Sn 3.24
Na (0.0000, 0.5000, 0.3114)  4 Na 3.13-3.45, 2 Sn 3.31, 2 Cd 3.39
Na (0.0000, 0.5000, 0.6886)  4 Na 3.13-3.45, 2 Sn 3.31, 2 Cd 3.39
Na (0.5000, 0.0000, 0.3114)  4 Na 3.13-3.45, 2 Sn 3.31, 2 Cd 3.39
Na (0.5000, 0.0000, 0.6886)  4 Na 3.13-3.45, 2 Sn 3.31, 2 Cd 3.39
Na (0.5000, 0.5000, 0.1991)  2 Sn 3.15, 2 Cd 3.24, 4 Na 3.45
Na (0.5000, 0.5000, 0.8009)  2 Sn 3.15, 2 Cd 3.24, 4 Na 3.45
Cd (0.2404, 0.2404, 0.5000)  2 Cd 3.00-3.25, 2 Na 3.24
Cd (0.7596, 0.7596, 0.5000)  2 Cd 3.00-3.25, 2 Na 3.24
Sn (0.2797, 0.7203, 0.0000)  7 Na 3.15-3.31, 2 Sn 3.20
Sn (0.7203, 0.2797, 0.0000)  7 Na 3.15-3.31, 2 Sn 3.20

---

Entry 10:
Density functional theory data (PBE) for CeYEr2As4 after structural relaxation.

Results
As for the space-group type: No. 10. The calculation puts the formation energy from the elements at -1.5051 eV per atom. The density of states at the Fermi level is 6.29 states/eV/f.u. Its magnetic moment is 0.56 μB/cell.

Lattice parameters (Å, degrees): 7.1398 4.1282 7.1428 90.00 109.43 90.00
Closest atoms and distances in Å follow each position.
Atoms (fractional coordinates):
Ce (0.0000, 0.0000, 0.0000)  6 As 2.93-2.94
Y (0.0000, 0.5000, 0.5000)  6 As 2.93
Er (0.5000, 0.0000, 0.5000)  6 As 2.89-2.90
Er (0.5000, 0.5000, 0.0000)  6 As 2.90-2.91
As (0.2536, 0.0000, 0.7505)  3 Er 2.90-2.91, 2 Y 2.93, 1 Ce 2.93
As (0.2553, 0.5000, 0.2533)  3 Er 2.89-2.90, 1 Y 2.93, 2 Ce 2.94
As (0.7447, 0.5000, 0.7467)  3 Er 2.89-2.90, 1 Y 2.93, 2 Ce 2.94
As (0.7464, 0.0000, 0.2495)  3 Er 2.90-2.91, 2 Y 2.93, 1 Ce 2.93

---

Entry 11:
Density functional theory data (PBE) for MgTaH after structural relaxation.

Results
As for the space-group type: No. 1. The excess energy over the best structure of this formula in the dataset comes out at 3.10 kcal/mol of atoms. The density of states at the Fermi level is 0.26 states/eV/f.u. Its magnetic moment is 0.00 μB/cell.

Lattice parameters (Å, degrees): 2.9175 5.2590 5.5615 94.21 90.15 105.73
Closest atoms and distances in Å follow each position.
Atoms (fractional coordinates):
Mg (0.0000, 0.0000, 0.0000)  3 H 2.32-2.43
Mg (0.2408, 0.4866, 0.7740)  2 H 2.48-2.67
Ta (0.4919, 0.9803, 0.5000)  3 H 1.95-2.07
Ta (0.7377, 0.4777, 0.2872)  4 H 1.97-2.03
H (0.1136, 0.2248, 0.3790)  4 Ta 2.03-2.07
H (0.3592, 0.7246, 0.2203)  3 Ta 1.95-1.98

---

Entry 12:
Density functional theory data (PBE) for TmInHg6 after structural relaxation.

Results
As for the space-group type: No. 166. The calculation puts the formation energy from the elements at -0.0278 eV per atom. The excess energy over the best structure of this formula in the dataset comes out at 2.52 kcal/mol of atoms. The density of states at the Fermi level is 4.28 states/eV/f.u. Its magnetic moment is 0.00 μB/cell.

Lattice parameters (Å, degrees): 6.0962 6.0962 6.0962 85.02 85.02 85.02
Closest atoms and distances in Å follow each position.
Atoms (fractional coordinates):
Tm (0.0000, 0.0000, 0.0000)  6 Hg 3.05
In (0.5000, 0.5000, 0.5000)  6 Hg 3.06
Hg (0.1577, 0.1577, 0.5295)  5 Hg 2.90-3.21, 1 Tm 3.05, 1 In 3.06
Hg (0.1577, 0.5295, 0.1577)  5 Hg 2.90-3.21, 1 Tm 3.05, 1 In 3.06
Hg (0.4705, 0.8423, 0.8423)  5 Hg 2.90-3.21, 1 Tm 3.05, 1 In 3.06
Hg (0.5295, 0.1577, 0.1577)  5 Hg 2.90-3.21, 1 Tm 3.05, 1 In 3.06
Hg (0.8423, 0.4705, 0.8423)  5 Hg 2.90-3.21, 1 Tm 3.05, 1 In 3.06
Hg (0.8423, 0.8423, 0.4705)  5 Hg 2.90-3.21, 1 Tm 3.05, 1 In 3.06

---

Q: Which formula does entry 1 have?
A: CaCoCl